Record 1
{
  "formula": "KRbSr2Y",
  "functional": "PBE-GGA",
  "state": "relaxed",
  "lattice": [[6.900, 0.000, 0.000], [0.000, 6.131, 0.000], [0.000, 0.000, 6.900]],
  "species": ["Y", "Sr", "Sr", "K", "Rb"],
  "fractional_positions": [[0.500, 0.500, 0.500], [0.000, 0.000, 0.500], [0.500, 0.000, 0.000], [0.000, 0.500, 0.000], [0.000, 0.000, 0.000]],
  "magmom_total_mub_per_fu": 1.964,
  "dos_ef_per_ev_atom": 1.5102,
  "space_group": "No. 123",
  "e_form_ev_per_atom": 0.94,
  "crystal_system": "tetragonal"
}



Record 2
{
  "formula": "KRbSr2Zn",
  "functional": "PBE-GGA",
  "state": "relaxed",
  "lattice": [[6.385, 0.000, 0.000], [0.000, 6.385, 0.000], [0.000, 0.000, 7.021]],
  "species": ["Sr", "Sr", "Zn", "K", "Rb"],
  "fractional_positions": [[0.000, 0.500, 0.000], [0.500, 0.000, 0.000], [0.000, 0.000, 0.000], [0.500, 0.500, 0.500], [0.000, 0.000, 0.500]],
  "magmom_total_mub_per_fu": 0.000,
  "dos_ef_per_ev_atom": 0.6520,
  "space_group": "No. 123",
  "e_form_ev_per_atom": 0.08,
  "e_above_lowest_polymorph_mev_per_atom": 9.0,
  "crystal_system": "tetragonal"
}



Record 3
{
  "formula": "KRbSr2Zn",
  "functional": "PBE-GGA",
  "state": "relaxed",
  "lattice": [[6.369, 0.000, 0.000], [0.000, 6.369, 0.000], [0.000, 0.000, 6.966]],
  "species": ["Sr", "Sr", "Zn", "K", "Rb"],
  "fractional_positions": [[0.000, 0.500, 0.000], [0.500, 0.000, 0.000], [0.000, 0.000, 0.000], [0.000, 0.000, 0.500], [0.500, 0.500, 0.500]],
  "magmom_total_mub_per_fu": 0.000,
  "dos_ef_per_ev_atom": 0.7355,
  "space_group": "No. 123",
  "e_form_ev_per_atom": 0.07,
  "e_above_lowest_polymorph_mev_per_atom": 0.0,
  "crystal_system": "tetragonal"
}



Record 4
{
  "formula": "K2RbSrZn",
  "functional": "PBE-GGA",
  "state": "relaxed",
  "lattice": [[-0.914, -6.268, 2.579], [6.687, -0.411, 1.370], [-1.042, 2.560, 5.852]],
  "species": ["Sr", "Zn", "K", "K", "Rb"],
  "fractional_positions": [[0.000, 0.000, 0.500], [0.000, 0.000, 0.000], [0.000, 0.500, 0.000], [0.500, 0.000, 0.000], [0.500, 0.500, 0.500]],
  "magmom_total_mub_per_fu": 0.000,
  "dos_ef_per_ev_atom": 0.9281,
  "space_group": "No. 123",
  "e_form_ev_per_atom": 0.11,
  "crystal_system": "tetragonal"
}



Record 5
{
  "formula": "K3RbTa",
  "functional": "PBE-GGA",
  "state": "relaxed",
  "lattice": [[-3.481, -5.526, -2.225], [5.597, -2.152, -3.413], [2.040, -3.527, 5.568]],
  "species": ["K", "K", "K", "Rb", "Ta"],
  "fractional_positions": [[0.000, 0.500, 0.000], [0.000, 0.000, 0.500], [0.500, 0.000, 0.000], [0.000, 0.000, 0.000], [0.500, 0.500, 0.500]],
  "magmom_total_mub_per_fu": 5.000,
  "dos_ef_per_ev_atom": 0.1665,
  "space_group": "No. 221",
  "e_form_ev_per_atom": 1.65,
  "e_above_lowest_polymorph_mev_per_atom": 475.2,
  "crystal_system": "cubic"
}



Record 6
{
  "formula": "KRb2Ta",
  "functional": "PBE-GGA",
  "state": "relaxed",
  "lattice": [[-4.701, 1.343, 2.800], [2.033, -2.508, 4.617], [4.336, 11.164, 7.593]],
  "species": ["K", "K", "Rb", "Rb", "Rb", "Rb", "Ta", "Ta"],
  "fractional_positions": [[0.500, 0.500, 0.000], [0.250, 0.750, 0.500], [0.644, 0.125, 0.250], [0.106, 0.625, 0.250], [0.375, 0.356, 0.750], [0.875, 0.894, 0.750], [0.000, 0.000, 0.000], [0.750, 0.250, 0.500]],
  "magmom_total_mub_per_fu": 5.034,
  "dos_ef_per_ev_atom": 1.8893,
  "space_group": "No. 122",
  "e_form_ev_per_atom": 1.56,
  "e_above_lowest_polymorph_mev_per_atom": 114.2,
  "crystal_system": "tetragonal"
}



Record 7
{
  "formula": "K2RbTa2",
  "functional": "PBE-GGA",
  "state": "relaxed",
  "lattice": [[5.484, 0.000, 0.000], [0.000, 5.484, 0.000], [2.742, 2.742, 7.567]],
  "species": ["K", "K", "Rb", "Ta", "Ta"],
  "fractional_positions": [[0.750, 0.250, 0.500], [0.250, 0.750, 0.500], [0.000, 0.000, 0.000], [0.427, 0.427, 0.146], [0.573, 0.573, 0.854]],
  "magmom_total_mub_per_fu": 0.993,
  "dos_ef_per_ev_atom": 0.4171,
  "space_group": "No. 139",
  "e_form_ev_per_atom": 1.63,
  "e_above_lowest_polymorph_mev_per_atom": 254.4,
  "crystal_system": "tetragonal"
}



Record 8
{
  "formula": "KRbTa3",
  "functional": "PBE-GGA",
  "state": "relaxed",
  "lattice": [[-3.392, 2.325, 2.930], [-0.062, -3.990, 3.094], [3.739, 2.042, 2.709]],
  "species": ["K", "Rb", "Ta", "Ta", "Ta"],
  "fractional_positions": [[0.500, 0.500, 0.500], [0.000, 0.000, 0.000], [0.000, 0.500, 0.000], [0.000, 0.000, 0.500], [0.500, 0.000, 0.000]],
  "magmom_total_mub_per_fu": 0.000,
  "dos_ef_per_ev_atom": 1.8923,
  "space_group": "No. 221",
  "e_form_ev_per_atom": 3.32,
  "e_above_lowest_polymorph_mev_per_atom": 0.0,
  "crystal_system": "cubic"
}



Record 9
{
  "formula": "K2RbTa2",
  "functional": "PBE-GGA",
  "state": "relaxed",
  "lattice": [[-4.742, -2.329, 9.583], [-3.768, -9.398, -4.149], [2.686, -1.502, 0.964]],
  "species": ["K", "K", "K", "K", "Rb", "Rb", "Ta", "Ta", "Ta", "Ta"],
  "fractional_positions": [[0.205, 0.705, 0.500], [0.705, 0.795, 0.500], [0.795, 0.295, 0.500], [0.295, 0.205, 0.500], [0.000, 0.000, 0.000], [0.500, 0.500, 0.000], [0.425, 0.925, 0.000], [0.925, 0.575, 0.000], [0.575, 0.075, 0.000], [0.075, 0.425, 0.000]],
  "magmom_total_mub_per_fu": 0.000,
  "dos_ef_per_ev_atom": 1.1710,
  "space_group": "No. 127",
  "e_form_ev_per_atom": 1.37,
  "e_above_lowest_polymorph_mev_per_atom": 0.0,
  "crystal_system": "tetragonal"
}



Record 10
{
  "formula": "K3RbTa",
  "functional": "PBE-GGA",
  "state": "relaxed",
  "lattice": [[6.927, 0.000, 0.000], [0.000, 6.927, 0.000], [0.000, 0.000, 6.927]],
  "species": ["K", "K", "K", "Rb", "Ta"],
  "fractional_positions": [[0.000, 0.500, 0.000], [0.000, 0.000, 0.500], [0.500, 0.000, 0.000], [0.500, 0.500, 0.500], [0.000, 0.000, 0.000]],
  "magmom_total_mub_per_fu": 5.083,
  "dos_ef_per_ev_atom": 0.4278,
  "space_group": "No. 221",
  "e_form_ev_per_atom": 1.17,
  "e_above_lowest_polymorph_mev_per_atom": 0.0,
  "crystal_system": "cubic"
}



Record 11
{
  "formula": "KRb2Ta",
  "functional": "PBE-GGA",
  "state": "relaxed",
  "lattice": [[0.000, 4.662, 4.662], [4.662, 0.000, 4.662], [4.662, 4.662, 0.000]],
  "species": ["K", "Rb", "Rb", "Ta"],
  "fractional_positions": [[0.000, 0.000, 0.000], [0.250, 0.250, 0.250], [0.750, 0.750, 0.750], [0.500, 0.500, 0.500]],
  "magmom_total_mub_per_fu": 5.188,
  "dos_ef_per_ev_atom": 1.6200,
  "space_group": "No. 225",
  "e_form_ev_per_atom": 1.44,
  "e_above_lowest_polymorph_mev_per_atom": 0.0,
  "crystal_system": "cubic"
}



Record 12
{
  "formula": "KRb2TaTe4",
  "functional": "PBE-GGA",
  "state": "relaxed",
  "lattice": [[7.936, 0.399, 0.612], [-3.020, 7.350, -0.612], [-3.020, -3.518, 6.482]],
  "species": ["K", "Rb", "Rb", "Ta", "Te", "Te", "Te", "Te"],
  "fractional_positions": [[0.500, 0.250, 0.750], [0.500, 0.750, 0.250], [0.000, 0.000, 0.000], [0.000, 0.500, 0.500], [0.665, 0.486, 0.498], [0.013, 0.179, 0.514], [0.987, 0.502, 0.166], [0.335, 0.834, 0.821]],
  "magmom_total_mub_per_fu": 0.000,
  "dos_ef_per_ev_atom": 0.0000,
  "space_group": "No. 82",
  "e_form_raw_mev_per_atom": -740,
  "crystal_system": "tetragonal"
}



Please write out number 12 again, unchanged.
{
  "formula": "KRb2TaTe4",
  "functional": "PBE-GGA",
  "state": "relaxed",
  "lattice": [[7.936, 0.399, 0.612], [-3.020, 7.350, -0.612], [-3.020, -3.518, 6.482]],
  "species": ["K", "Rb", "Rb", "Ta", "Te", "Te", "Te", "Te"],
  "fractional_positions": [[0.500, 0.250, 0.750], [0.500, 0.750, 0.250], [0.000, 0.000, 0.000], [0.000, 0.500, 0.500], [0.665, 0.486, 0.498], [0.013, 0.179, 0.514], [0.987, 0.502, 0.166], [0.335, 0.834, 0.821]],
  "magmom_total_mub_per_fu": 0.000,
  "dos_ef_per_ev_atom": 0.0000,
  "space_group": "No. 82",
  "e_form_raw_mev_per_atom": -740,
  "crystal_system": "tetragonal"
}